# 1
Here is a geometry-optimized SrTeSe structure from Alexandria. Energies are from GGA-PBE.

a = 7.554 Å, b = 7.554 Å, c = 7.554 Å
α = 90.00°, β = 90.00°, γ = 90.00°
Space group F-43m (No. 216)
Inequivalent atoms, fractional coordinates:
Sr1 0.000 0.000 0.000 [4 per cell]
Te1 0.250 0.250 0.250 [4 per cell]
Se1 0.000 0.000 0.500 [4 per cell]

Summary:
* raw formation energy: -0.632 eV/atom
* total energy: -10.2 eV per formula unit
* distance to the lowest polymorph of the same formula: 0.483 eV per atom



# 2
Here is a geometry-optimized AsIr2Pb structure from Alexandria. Energies are from GGA-PBE.

a = 7.372 Å, b = 3.113 Å, c = 6.766 Å
α = 90.00°, β = 101.88°, γ = 90.00°
Space group C2/m (No. 12)
Inequivalent atoms, fractional coordinates:
As1 0.000 0.000 0.000 [2 per cell]
Ir1 0.241 0.500 0.187 [4 per cell]
Pb1 0.000 0.500 0.500 [2 per cell]

Summary:
* total energy: -24.9 eV per formula unit
* formation energy: 0.303 eV per atom
* distance to the lowest polymorph of the same formula: 0.219 eV per atom



# 3
Here is a geometry-optimized Pm3NdAl4 structure from Alexandria. Energies are from GGA-PBE.

a = 3.719 Å, b = 5.237 Å, c = 10.473 Å
α = 90.00°, β = 90.00°, γ = 90.00°
Space group Pmmm (No. 47)
Inequivalent atoms, fractional coordinates:
Pm1 0.000 0.000 0.000 [1 per cell]
Pm2 0.000 0.500 0.250 [2 per cell]
Nd1 0.000 0.000 0.500 [1 per cell]
Al1 0.500 0.000 0.249 [2 per cell]
Al2 0.500 0.500 0.000 [1 per cell]
Al3 0.500 0.500 0.500 [1 per cell]

Summary:
* total energy: -36.9 eV per formula unit
* formation energy: -0.364 eV per atom



# 4
Here is a geometry-optimized MnPIr2 structure from Alexandria. Energies are from GGA-PBE.

a = 3.976 Å, b = 3.976 Å, c = 6.937 Å
α = 90.00°, β = 90.00°, γ = 90.00°
Space group I4/mmm (No. 139)
Inequivalent atoms, fractional coordinates:
Mn1 0.000 0.000 0.000 [2 per cell]
P1 0.000 0.000 0.500 [2 per cell]
Ir1 0.000 0.500 0.250 [4 per cell]

Summary:
* total energy: -32.5 eV per formula unit
* formation energy: -0.050 eV per atom



# 5
Here is a geometry-optimized Sr2CaAc2 structure from Alexandria. Energies are from GGA-PBE.

a = 5.119 Å, b = 5.119 Å, c = 20.232 Å
α = 90.00°, β = 90.00°, γ = 90.00°
Space group I4/mmm (No. 139)
Inequivalent atoms, fractional coordinates:
Sr1 0.000 0.000 0.095 [4 per cell]
Ca1 0.000 0.000 0.500 [2 per cell]
Ac1 0.000 0.500 0.250 [4 per cell]

Summary:
* total energy: -11.8 eV per formula unit
* formation energy: 0.347 eV per atom
* distance to the lowest polymorph of the same formula: 0.322 eV per atom



# 6
Here is a geometry-optimized YRu3Cl structure from Alexandria. Energies are from GGA-PBE.

a = 5.048 Å, b = 5.048 Å, c = 5.048 Å
α = 90.00°, β = 90.00°, γ = 90.00°
Space group Pm-3m (No. 221)
Inequivalent atoms, fractional coordinates:
Y1 0.000 0.000 0.000 [1 per cell]
Ru1 0.000 0.000 0.500 [3 per cell]
Cl1 0.500 0.500 0.500 [1 per cell]

Summary:
* raw formation energy: 2.058 eV/atom
* total energy: -25.8 eV per formula unit
* distance to the lowest polymorph of the same formula: 1.562 eV per atom



# 7
Here is a geometry-optimized AcSmY2 structure from Alexandria. Energies are from GGA-PBE.

a = 7.526 Å, b = 6.291 Å, c = 12.583 Å
α = 90.00°, β = 107.09°, γ = 90.00°
Space group P2/c (No. 13)
Inequivalent atoms, fractional coordinates:
Ac1 0.194 0.170 0.379 [4 per cell]
Sm1 0.066 0.334 0.624 [4 per cell]
Y1 0.315 0.170 0.118 [4 per cell]
Y2 0.442 0.333 0.876 [4 per cell]

Summary:
* total energy: -21.5 eV per formula unit
* formation energy: 0.070 eV per atom
* distance to the lowest polymorph of the same formula: 0.031 eV per atom



# 8
Here is a geometry-optimized Ag3OsCl structure from Alexandria. Energies are from GGA-PBE.

a = 5.165 Å, b = 5.165 Å, c = 5.165 Å
α = 90.00°, β = 90.00°, γ = 90.00°
Space group Pm-3m (No. 221)
Inequivalent atoms, fractional coordinates:
Ag1 0.000 0.000 0.500 [3 per cell]
Os1 0.000 0.000 0.000 [1 per cell]
Cl1 0.500 0.500 0.500 [1 per cell]

Summary:
* raw formation energy: 1.339 eV/atom
* total energy: -14.9 eV per formula unit
* distance to the lowest polymorph of the same formula: 0.000 eV per atom



# 9
Here is a geometry-optimized Th2Ga4Ir3Rh structure from Alexandria. Energies are from GGA-PBE.

a = 4.284 Å, b = 4.284 Å, c = 10.265 Å
α = 90.00°, β = 90.00°, γ = 90.00°
Space group P-4m2 (No. 115)
Inequivalent atoms, fractional coordinates:
Th1 0.000 0.500 0.245 [2 per cell]
Ga1 0.000 0.000 0.500 [1 per cell]
Ga2 0.000 0.500 0.875 [2 per cell]
Ga3 0.500 0.500 0.500 [1 per cell]
Ir1 0.000 0.000 0.000 [1 per cell]
Ir2 0.000 0.500 0.636 [2 per cell]
Rh1 0.500 0.500 0.000 [1 per cell]

Summary:
* total energy: -68.6 eV per formula unit
* formation energy: -0.773 eV per atom



# 10
Here is a geometry-optimized HfZr2Zn2Rh5 structure from Alexandria. Energies are from GGA-PBE.

a = 9.513 Å, b = 9.513 Å, c = 3.634 Å
α = 90.00°, β = 90.00°, γ = 90.00°
Space group P4/mbm (No. 127)
Inequivalent atoms, fractional coordinates:
Hf1 0.000 0.000 0.000 [2 per cell]
Zr1 0.172 0.328 0.000 [4 per cell]
Zn1 0.124 0.624 0.000 [4 per cell]
Rh1 0.000 0.500 0.500 [2 per cell]
Rh2 0.075 0.797 0.500 [8 per cell]

Summary:
* total energy: -72.8 eV per formula unit
* formation energy: -0.646 eV per atom



# 11
Here is a geometry-optimized Pr6Ge2Te3P structure from Alexandria. Energies are from GGA-PBE.

a = 19.418 Å, b = 4.383 Å, c = 8.941 Å
α = 90.00°, β = 104.87°, γ = 90.00°
Space group C2/m (No. 12)
Inequivalent atoms, fractional coordinates:
Pr1 0.006 0.000 0.231 [4 per cell]
Pr2 0.159 0.500 0.096 [4 per cell]
Pr3 0.172 0.500 0.569 [4 per cell]
Ge1 0.166 0.000 0.331 [4 per cell]
Te1 0.000 0.500 0.500 [2 per cell]
Te2 0.167 0.000 0.834 [4 per cell]
P1 0.000 0.500 0.000 [2 per cell]

Summary:
* raw formation energy: -1.340 eV/atom
* total energy: -68.8 eV per formula unit



# 12
Here is a geometry-optimized Tl4Hg6Te structure from Alexandria. Energies are from GGA-PBE.

a = 8.919 Å, b = 12.135 Å, c = 12.584 Å
α = 90.00°, β = 90.00°, γ = 90.00°
Space group Cmc2_1 (No. 36)
Inequivalent atoms, fractional coordinates:
Tl1 0.000 0.106 0.000 [4 per cell]
Tl2 0.000 0.361 0.420 [4 per cell]
Tl3 0.200 0.392 0.933 [8 per cell]
Hg1 0.000 0.080 0.278 [4 per cell]
Hg2 0.000 0.326 0.153 [4 per cell]
Hg3 0.183 0.422 0.655 [8 per cell]
Hg4 0.194 0.168 0.785 [8 per cell]
Te1 0.000 0.154 0.573 [4 per cell]

Summary:
* raw formation energy: -0.046 eV/atom
* total energy: -14.9 eV per formula unit



# 13
Here is a geometry-optimized LiNd2Si3Pd12 structure from Alexandria. Energies are from GGA-PBE.

a = 9.0902 Å, b = 9.0902 Å, c = 13.1653 Å
α = 90.00°, β = 90.00°, γ = 120.00°
Space group R-3m (No. 166, hexagonal axes)
Inequivalent atoms, fractional coordinates:
Li1 0.0000 0.0000 0.0000 [3 per cell]
Nd1 0.0000 0.0000 0.3660 [6 per cell]
Si1 0.0000 0.5000 0.5000 [9 per cell]
Pd1 0.0040 0.5020 0.6793 [18 per cell]
Pd2 0.0345 0.5172 0.8845 [18 per cell]

Summary:
* raw formation energy: -0.476 eV/atom
* total energy: -98.6 eV per formula unit



# 14
Here is a geometry-optimized TlSb2Mo structure from Alexandria. Energies are from GGA-PBE.

a = 3.157 Å, b = 4.361 Å, c = 8.466 Å
α = 90.00°, β = 90.00°, γ = 90.00°
Space group Pmm2 (No. 25)
Inequivalent atoms, fractional coordinates:
Tl1 0.000 0.000 0.000 [1 per cell]
Sb1 0.000 0.000 0.597 [1 per cell]
Sb2 0.500 0.500 0.247 [1 per cell]
Mo1 0.500 0.500 0.563 [1 per cell]

Summary:
* raw formation energy: 0.380 eV/atom
* total energy: -19.9 eV per formula unit
* distance to the lowest polymorph of the same formula: 0.297 eV per atom



# 15
Here is a geometry-optimized BeSb2W structure from Alexandria. Energies are from GGA-PBE.

a = 3.576 Å, b = 4.213 Å, c = 5.226 Å
α = 90.00°, β = 109.88°, γ = 90.00°
Space group Pm (No. 6)
Inequivalent atoms, fractional coordinates:
Be1 0.000 0.000 0.000 [1 per cell]
Sb1 0.264 0.000 0.530 [1 per cell]
Sb2 0.564 0.500 0.132 [1 per cell]
W1 0.854 0.500 0.711 [1 per cell]

Summary:
* raw formation energy: 0.338 eV/atom
* total energy: -23.6 eV per formula unit



# 16
Here is a geometry-optimized MnAuSe2 structure from Alexandria. Energies are from GGA-PBE.

a = 3.601 Å, b = 3.721 Å, c = 7.239 Å
α = 90.00°, β = 90.00°, γ = 90.00°
Space group Pmmm (No. 47)
Inequivalent atoms, fractional coordinates:
Mn1 0.000 0.000 0.000 [1 per cell]
Au1 0.000 0.500 0.500 [1 per cell]
Se1 0.500 0.000 0.500 [1 per cell]
Se2 0.500 0.500 0.000 [1 per cell]

Summary:
* raw formation energy: 0.050 eV/atom
* total energy: -19.2 eV per formula unit



# 17
Here is a geometry-optimized BeCu2Ir structure from Alexandria. Energies are from GGA-PBE.

a = 3.448 Å, b = 3.448 Å, c = 7.963 Å
α = 90.00°, β = 90.00°, γ = 90.00°
Space group I4/mmm (No. 139)
Inequivalent atoms, fractional coordinates:
Be1 0.000 0.000 0.000 [2 per cell]
Cu1 0.000 0.500 0.250 [4 per cell]
Ir1 0.000 0.000 0.500 [2 per cell]

Summary:
* total energy: -20.8 eV per formula unit
* formation energy: -0.016 eV per atom



# 18
Here is a geometry-optimized Ba2InPbN structure from Alexandria. Energies are from GGA-PBE.

a = 5.882 Å, b = 5.882 Å, c = 4.498 Å
α = 90.00°, β = 90.00°, γ = 90.00°
Space group P4/mmm (No. 123)
Inequivalent atoms, fractional coordinates:
Ba1 0.000 0.500 0.000 [2 per cell]
In1 0.000 0.000 0.500 [1 per cell]
Pb1 0.500 0.500 0.500 [1 per cell]
N1 0.000 0.000 0.000 [1 per cell]

Summary:
* raw formation energy: -0.300 eV/atom
* total energy: -20.1 eV per formula unit



# 19
Here is a geometry-optimized V2AsH structure from Alexandria. Energies are from GGA-PBE.

a = 5.784 Å, b = 5.784 Å, c = 5.784 Å
α = 90.00°, β = 90.00°, γ = 90.00°
Space group Fm-3m (No. 225)
Inequivalent atoms, fractional coordinates:
V1 0.250 0.250 0.250 [8 per cell]
As1 0.000 0.000 0.000 [4 per cell]
H1 0.000 0.000 0.500 [4 per cell]

Summary:
* total energy: -25.4 eV per formula unit
* distance to the lowest polymorph of the same formula: 0.496 eV per atom



# 20
Here is a geometry-optimized Dy5Pt4 structure from Alexandria. Energies are from GGA-PBE.

a = 7.515 Å, b = 14.586 Å, c = 7.614 Å
α = 90.00°, β = 90.00°, γ = 90.00°
Space group Pnma (No. 62)
Inequivalent atoms, fractional coordinates:
Dy1 0.001 0.094 0.180 [8 per cell]
Dy2 0.156 0.122 0.667 [8 per cell]
Dy3 0.182 0.750 0.512 [4 per cell]
Pt1 0.047 0.750 0.113 [4 per cell]
Pt2 0.184 0.250 0.358 [4 per cell]
Pt3 0.184 0.542 0.468 [8 per cell]

Summary:
* total energy: -57.8 eV per formula unit
* formation energy: -1.177 eV per atom



# 21
Here is a geometry-optimized PrZnPd2 structure from Alexandria. Energies are from GGA-PBE.

a = 3.387 Å, b = 3.387 Å, c = 6.703 Å
α = 90.00°, β = 90.00°, γ = 90.00°
Space group P4/mmm (No. 123)
Inequivalent atoms, fractional coordinates:
Pr1 0.000 0.000 0.000 [1 per cell]
Zn1 0.000 0.000 0.500 [1 per cell]
Pd1 0.500 0.500 0.295 [2 per cell]

Summary:
* total energy: -18.7 eV per formula unit
* formation energy: -0.557 eV per atom



# 22
Here is a geometry-optimized Na2MnCuH6 structure from Alexandria. Energies are from GGA-PBE.

a = 7.137 Å, b = 7.137 Å, c = 7.137 Å
α = 90.00°, β = 90.00°, γ = 90.00°
Space group Fm-3m (No. 225)
Inequivalent atoms, fractional coordinates:
Na1 0.250 0.250 0.250 [8 per cell]
Mn1 0.000 0.000 0.000 [4 per cell]
Cu1 0.000 0.000 0.500 [4 per cell]
H1 0.000 0.000 0.246 [24 per cell]

Summary:
* total energy: -36.3 eV per formula unit



Number 1: density 4.5 g/cm3. Number 2: density 14.6 g/cm3. Number 3: density 5.6 g/cm3. Number 4: density 14.2 g/cm3. Number 5: density 4.2 g/cm3. Number 6: density 5.5 g/cm3. Number 7: density 6.5 g/cm3. Number 8: density 6.6 g/cm3. Number 9: density 12.5 g/cm3. Number 10: density 10.2 g/cm3. Number 11: density 6.3 g/cm3. Number 12: density 10.5 g/cm3. Number 13: density 8.8 g/cm3. Number 14: density 7.7 g/cm3. Number 15: density 9.8 g/cm3. Number 16: density 7.0 g/cm3. Number 17: density 11.5 g/cm3. Number 18: density 6.5 g/cm3. Number 19: density 6.1 g/cm3. Number 20: density 12.7 g/cm3. Number 21: density 9.1 g/cm3. Number 22: density 3.1 g/cm3.